# 1
Computed, not measured: a relaxed structure of HgMoOs2 at the PBE-GGA level of DFT.

Energy relative to the elements   2.7 eV/f.u.
Density of states at the Fermi level   2.37 states/eV/f.u.

abc: 5.6063 5.6063 5.6063
angles: 150.61 129.44 59.56
Element x y z (fractional)
Hg: 0.0000 0.0000 0.0000
Mo: 0.5000 0.5000 0.0000
Os: 0.2757 0.7757 0.5000
Os: 0.7243 0.2243 0.5000



# 2
Computed, not measured: a relaxed structure of Ni2Ag2Br7 at the PBE-GGA level of DFT.

Density of states at the Fermi level   4.72 states/eV/f.u.
Raw formation energy   -0.229 eV/atom

abc: 7.5528 7.5528 13.4076
angles: 104.72 104.72 94.82
Element x y z (fractional)
Ni: 0.1929 0.2044 0.2027
Ni: 0.2044 0.1929 0.7027
Ni: 0.7956 0.8071 0.2973
Ni: 0.8071 0.7956 0.7973
Ag: 0.2725 0.6339 0.5366
Ag: 0.3661 0.7275 0.9634
Ag: 0.6339 0.2725 0.0366
Ag: 0.7275 0.3661 0.4634
Br: 0.0058 0.3320 0.0825
Br: 0.0321 0.9679 0.2500
Br: 0.0765 0.4154 0.6211
Br: 0.3320 0.0058 0.5825
Br: 0.3814 0.4310 0.3572
Br: 0.4154 0.0765 0.1211
Br: 0.4310 0.3814 0.8572
Br: 0.5690 0.6186 0.1428
Br: 0.5846 0.9235 0.8789
Br: 0.6186 0.5690 0.6428
Br: 0.6680 0.9942 0.4175
Br: 0.9235 0.5846 0.3789
Br: 0.9679 0.0321 0.7500
Br: 0.9942 0.6680 0.9175



> Which of these has the lowest density of states at the Fermi level?

HgMoOs2